## w
A plane-wave DFT calculation with PBE was carried out for a relaxed RbNaCd2Ag crystal.

Cell lengths 5.487, 5.487, 5.721 Å; angles 90.00, 90.00, 90.00 degrees
Space group P4/mmm (No. 123)
Asymmetric unit:
Rb 0.000 0.000 0.000 (multiplicity 1)
Na 0.500 0.500 0.000 (multiplicity 1)
Cd 0.000 0.500 0.500 (multiplicity 2)
Ag 0.500 0.500 0.500 (multiplicity 1)

Output
As for the size of the total moment: 0.0 Bohr magnetons per cell.

***

## x
A plane-wave DFT calculation with PBE was carried out for a relaxed RbNaCd2Ag crystal.

Cell lengths 4.800, 5.132, 12.787 Å; angles 90.00, 90.00, 90.00 degrees
Space group Imm2 (No. 44)
Asymmetric unit:
Rb 0.000 0.000 0.000 (multiplicity 2)
Na 0.000 0.500 0.738 (multiplicity 2)
Cd 0.000 0.000 0.393 (multiplicity 2)
Cd 0.000 0.500 0.248 (multiplicity 2)
Ag 0.000 0.000 0.614 (multiplicity 2)

Output
As for the size of the total moment: 0.0 Bohr magnetons per cell.

***

In kJ/mol of atoms, relative to the most stable structure: w 2.1; x 0.0.

***

## w
A plane-wave DFT calculation with PBE was carried out for a relaxed NaCdAgSe2 crystal.

Cell lengths 14.715, 4.291, 8.771 Å; angles 90.00, 98.53, 90.00 degrees
Space group C2/m (No. 12)
Asymmetric unit:
Na 0.192 0.000 0.172 (multiplicity 4)
Cd 0.064 0.500 0.693 (multiplicity 4)
Ag 0.180 0.000 0.541 (multiplicity 4)
Se 0.118 0.500 0.370 (multiplicity 4)
Se 0.146 0.000 0.836 (multiplicity 4)

Output
As for the size of the total moment: 0.0 Bohr magnetons per cell.

***

## x
A plane-wave DFT calculation with PBE was carried out for a relaxed NaCdAgSe2 crystal.

Cell lengths 5.269, 5.269, 5.171 Å; angles 90.00, 90.00, 90.00 degrees
Space group P4/mmm (No. 123)
Asymmetric unit:
Na 0.000 0.000 0.000 (multiplicity 1)
Cd 0.500 0.500 0.000 (multiplicity 1)
Ag 0.500 0.500 0.500 (multiplicity 1)
Se 0.000 0.500 0.500 (multiplicity 2)

Output
As for the size of the total moment: 0.0 Bohr magnetons per cell.

***

In kJ/mol of atoms, relative to the most stable structure: w 0.0; x 53.4.

***

## w
A plane-wave DFT calculation with PBE was carried out for a relaxed NaCdAgSn crystal.

Cell lengths 7.123, 7.123, 7.123 Å; angles 90.00, 90.00, 90.00 degrees
Space group F-43m (No. 216)
Asymmetric unit:
Na 0.000 0.000 0.000 (multiplicity 4)
Cd 0.250 0.250 0.750 (multiplicity 4)
Ag 0.250 0.250 0.250 (multiplicity 4)
Sn 0.000 0.000 0.500 (multiplicity 4)

Output
As for the size of the total moment: 0.0 Bohr magnetons per cell.

***

## x
A plane-wave DFT calculation with PBE was carried out for a relaxed NaCdAgSn crystal.

Cell lengths 8.530, 5.148, 5.144 Å; angles 90.00, 127.04, 90.00 degrees
Space group Cm (No. 8)
Asymmetric unit:
Na 0.000 0.000 0.000 (multiplicity 2)
Cd 0.000 0.500 0.499 (multiplicity 2)
Ag 0.250 0.500 0.249 (multiplicity 2)
Sn 0.250 0.000 0.750 (multiplicity 2)

Output
As for the size of the total moment: 0.0 Bohr magnetons per cell.

***

In kJ/mol of atoms, relative to the most stable structure: w 0.0; x 3.0.

***

## w
A plane-wave DFT calculation with PBE was carried out for a relaxed NbCd3Ag crystal.

Cell lengths 5.011, 5.011, 5.011 Å; angles 90.00, 90.00, 90.00 degrees
Space group Pm-3m (No. 221)
Asymmetric unit:
Nb 0.000 0.000 0.000 (multiplicity 1)
Cd 0.000 0.500 0.500 (multiplicity 3)
Ag 0.500 0.500 0.500 (multiplicity 1)

Output
As for the size of the total moment: 0.0 Bohr magnetons per cell.

***

## x
A plane-wave DFT calculation with PBE was carried out for a relaxed NbCd3Ag crystal.

Cell lengths 5.494, 5.494, 5.494 Å; angles 90.00, 90.00, 90.00 degrees
Space group Pm-3m (No. 221)
Asymmetric unit:
Nb 0.000 0.000 0.000 (multiplicity 1)
Cd 0.000 0.000 0.500 (multiplicity 3)
Ag 0.500 0.500 0.500 (multiplicity 1)

Output
As for the size of the total moment: 2.9 Bohr magnetons per cell.

***

In kJ/mol of atoms, relative to the most stable structure: w 0.0; x 9.8.

***

## w
A plane-wave DFT calculation with PBE was carried out for a relaxed NbCdAg3 crystal.

Cell lengths 5.041, 5.041, 5.041 Å; angles 90.00, 90.00, 90.00 degrees
Space group Pm-3m (No. 221)
Asymmetric unit:
Nb 0.000 0.000 0.000 (multiplicity 1)
Cd 0.500 0.500 0.500 (multiplicity 1)
Ag 0.000 0.500 0.500 (multiplicity 3)

Output
As for the size of the total moment: 3.4 Bohr magnetons per cell.

***

## x
A plane-wave DFT calculation with PBE was carried out for a relaxed NbCdAg3 crystal.

Cell lengths 5.200, 5.200, 5.200 Å; angles 90.00, 90.00, 90.00 degrees
Space group Pm-3m (No. 221)
Asymmetric unit:
Nb 0.000 0.000 0.000 (multiplicity 1)
Cd 0.500 0.500 0.500 (multiplicity 1)
Ag 0.000 0.000 0.500 (multiplicity 3)

Output
As for the size of the total moment: 0.0 Bohr magnetons per cell.

***

In kJ/mol of atoms, relative to the most stable structure: w 0.0; x 10.7.

***

## w
A plane-wave DFT calculation with PBE was carried out for a relaxed NbCdAg crystal.

Cell lengths 4.096, 4.065, 13.554 Å; angles 90.00, 90.09, 90.00 degrees
Space group C2/m (No. 12)
Asymmetric unit:
Nb 0.250 0.000 0.240 (multiplicity 4)
Cd 0.249 0.000 0.591 (multiplicity 4)
Ag 0.249 0.000 0.921 (multiplicity 4)

Output
As for the size of the total moment: 0.0 Bohr magnetons per cell.

***

## x
A plane-wave DFT calculation with PBE was carried out for a relaxed NbCdAg crystal.

Cell lengths 2.936, 2.936, 13.008 Å; angles 90.00, 90.00, 90.00 degrees
Space group I4mm (No. 107)
Asymmetric unit:
Nb 0.000 0.000 0.000 (multiplicity 2)
Cd 0.000 0.000 0.329 (multiplicity 2)
Ag 0.000 0.000 0.662 (multiplicity 2)

Output
As for the size of the total moment: 0.0 Bohr magnetons per cell.

***

In kJ/mol of atoms, relative to the most stable structure: w 2.2; x 0.0.

***

## w
A plane-wave DFT calculation with PBE was carried out for a relaxed NbCd2AgRu crystal.

Cell lengths 5.047, 5.047, 5.003 Å; angles 90.00, 90.00, 90.00 degrees
Space group P4/mmm (No. 123)
Asymmetric unit:
Nb 0.000 0.000 0.000 (multiplicity 1)
Cd 0.000 0.500 0.500 (multiplicity 2)
Ag 0.500 0.500 0.000 (multiplicity 1)
Ru 0.500 0.500 0.500 (multiplicity 1)

Output
As for the size of the total moment: 2.7 Bohr magnetons per cell.

***

## x
A plane-wave DFT calculation with PBE was carried out for a relaxed NbCd2AgRu crystal.

Cell lengths 5.176, 5.176, 4.635 Å; angles 90.00, 90.00, 90.00 degrees
Space group P4/mmm (No. 123)
Asymmetric unit:
Nb 0.000 0.000 0.000 (multiplicity 1)
Cd 0.000 0.500 0.500 (multiplicity 2)
Ag 0.500 0.500 0.000 (multiplicity 1)
Ru 0.000 0.000 0.500 (multiplicity 1)

Output
As for the size of the total moment: 0.4 Bohr magnetons per cell.

***

In kJ/mol of atoms, relative to the most stable structure: w 58.1; x 0.0.

***

## w
A plane-wave DFT calculation with PBE was carried out for a relaxed Nd4Cd5Ag crystal.

Cell lengths 3.760, 3.760, 18.983 Å; angles 90.00, 90.00, 90.00 degrees
Space group P4/mmm (No. 123)
Asymmetric unit:
Nd 0.000 0.000 0.106 (multiplicity 2)
Nd 0.000 0.000 0.314 (multiplicity 2)
Cd 0.500 0.500 0.000 (multiplicity 1)
Cd 0.500 0.500 0.209 (multiplicity 2)
Cd 0.500 0.500 0.420 (multiplicity 2)
Ag 0.000 0.000 0.500 (multiplicity 1)

Output
As for the size of the total moment: 0.1 Bohr magnetons per cell.

***

## x
A plane-wave DFT calculation with PBE was carried out for a relaxed Nd4Cd5Ag crystal.

Cell lengths 16.232, 5.221, 6.673 Å; angles 90.00, 107.69, 90.00 degrees
Space group C2/m (No. 12)
Asymmetric unit:
Nd 0.097 0.000 0.388 (multiplicity 4)
Nd 0.187 0.500 0.813 (multiplicity 4)
Cd 0.000 0.500 0.000 (multiplicity 2)
Cd 0.097 0.000 0.914 (multiplicity 4)
Cd 0.202 0.500 0.309 (multiplicity 4)
Ag 0.000 0.500 0.500 (multiplicity 2)

Output
As for the size of the total moment: 0.0 Bohr magnetons per cell.

***

In kJ/mol of atoms, relative to the most stable structure: w 2.2; x 0.0.

***

## w
A plane-wave DFT calculation with PBE was carried out for a relaxed Nd3Cd4Ag2 crystal.

Cell lengths 11.116, 5.021, 9.345 Å; angles 90.00, 120.46, 90.00 degrees
Space group C2/m (No. 12)
Asymmetric unit:
Nd 0.000 0.000 0.000 (multiplicity 2)
Nd 0.169 0.500 0.662 (multiplicity 4)
Cd 0.052 0.000 0.383 (multiplicity 4)
Cd 0.218 0.500 0.054 (multiplicity 4)
Ag 0.106 0.500 0.273 (multiplicity 4)

Output
As for the size of the total moment: 0.0 Bohr magnetons per cell.

***

## x
A plane-wave DFT calculation with PBE was carried out for a relaxed Nd3Cd4Ag2 crystal.

Cell lengths 9.544, 5.269, 9.207 Å; angles 90.00, 97.25, 90.00 degrees
Space group C2/m (No. 12)
Asymmetric unit:
Nd 0.000 0.000 0.000 (multiplicity 2)
Nd 0.124 0.500 0.722 (multiplicity 4)
Cd 0.060 0.000 0.362 (multiplicity 4)
Cd 0.183 0.500 0.083 (multiplicity 4)
Ag 0.222 0.500 0.394 (multiplicity 4)

Output
As for the size of the total moment: 0.0 Bohr magnetons per cell.

***

In kJ/mol of atoms, relative to the most stable structure: w 0.0; x 4.4.

***

## w
A plane-wave DFT calculation with PBE was carried out for a relaxed NdCd2Ag2 crystal.

Cell lengths 6.014, 6.057, 6.350 Å; angles 88.70, 83.47, 88.42 degrees
Space group P-1 (No. 2)
Asymmetric unit:
Nd 0.172 0.251 0.315 (multiplicity 2)
Cd 0.057 0.754 0.146 (multiplicity 2)
Cd 0.362 0.747 0.458 (multiplicity 2)
Ag 0.340 0.494 0.846 (multiplicity 2)
Ag 0.347 0.994 0.840 (multiplicity 2)

Output
As for the size of the total moment: 0.0 Bohr magnetons per cell.

***

## x
A plane-wave DFT calculation with PBE was carried out for a relaxed NdCd2Ag2 crystal.

Cell lengths 5.102, 5.108, 5.505 Å; angles 89.65, 69.01, 60.05 degrees
Space group P-1 (No. 2)
Asymmetric unit:
Nd 0.000 0.000 0.000 (multiplicity 1)
Cd 0.486 0.756 0.342 (multiplicity 2)
Ag 0.219 0.388 0.238 (multiplicity 2)

Output
As for the size of the total moment: 0.0 Bohr magnetons per cell.

***

In kJ/mol of atoms, relative to the most stable structure: w 1.9; x 0.0.

***

## w
A plane-wave DFT calculation with PBE was carried out for a relaxed Nd2Cd2Ag crystal.

Cell lengths 11.089, 4.937, 10.406 Å; angles 90.00, 109.98, 90.00 degrees
Space group C2/m (No. 12)
Asymmetric unit:
Nd 0.033 0.000 0.348 (multiplicity 4)
Nd 0.176 0.000 0.096 (multiplicity 4)
Cd 0.025 0.500 0.871 (multiplicity 4)
Cd 0.139 0.500 0.581 (multiplicity 4)
Ag 0.231 0.500 0.328 (multiplicity 4)

Output
As for the size of the total moment: 0.0 Bohr magnetons per cell.

***

## x
A plane-wave DFT calculation with PBE was carried out for a relaxed Nd2Cd2Ag crystal.

Cell lengths 3.912, 6.931, 10.018 Å; angles 90.00, 90.00, 90.00 degrees
Space group Immm (No. 71)
Asymmetric unit:
Nd 0.000 0.000 0.231 (multiplicity 4)
Cd 0.000 0.293 0.500 (multiplicity 4)
Ag 0.000 0.500 0.000 (multiplicity 2)

Output
As for the size of the total moment: 0.0 Bohr magnetons per cell.

***

In kJ/mol of atoms, relative to the most stable structure: w 0.0; x 5.8.

***

## w
A plane-wave DFT calculation with PBE was carried out for a relaxed Nd2Cd2Ag3 crystal.

Cell lengths 10.818, 4.612, 7.223 Å; angles 90.00, 110.62, 90.00 degrees
Space group C2/m (No. 12)
Asymmetric unit:
Nd 0.137 0.000 0.257 (multiplicity 4)
Cd 0.154 0.000 0.716 (multiplicity 4)
Ag 0.000 0.500 0.500 (multiplicity 2)
Ag 0.108 0.500 0.928 (multiplicity 4)

Output
As for the size of the total moment: 0.0 Bohr magnetons per cell.

***

## x
A plane-wave DFT calculation with PBE was carried out for a relaxed Nd2Cd2Ag3 crystal.

Cell lengths 4.113, 20.418, 8.248 Å; angles 90.00, 90.00, 90.00 degrees
Space group Cmcm (No. 63)
Asymmetric unit:
Nd 0.000 0.059 0.250 (multiplicity 4)
Nd 0.000 0.149 0.750 (multiplicity 4)
Cd 0.000 0.314 0.554 (multiplicity 8)
Ag 0.000 0.235 0.250 (multiplicity 4)
Ag 0.000 0.443 0.077 (multiplicity 8)

Output
As for the size of the total moment: 0.0 Bohr magnetons per cell.

***

In kJ/mol of atoms, relative to the most stable structure: w 0.0; x 1.3.